Record 1
DFT (PBE) results for crystalline Ba2Ag3Te4 at its relaxed geometry.

The electronic total energy is -129.5 eV for the cell shown.

CIF file:
```
data_Ba2Ag3Te4
_cell_length_a 6.9529
_cell_length_b 17.0456
_cell_length_c 9.1814
_cell_angle_alpha 90.00
_cell_angle_beta 90.00
_cell_angle_gamma 90.00
_space_group_name_H-M_alt 'C m c e'
_space_group_IT_number 64
_space_group_name_Hall '-C 2ac 2'
loop_
_atom_site_label
_atom_site_type_symbol
_atom_site_fract_x
_atom_site_fract_y
_atom_site_fract_z
Ba1 Ba 0.0000 0.1211 0.0686
Ag1 Ag 0.0000 0.0000 0.5000
Ag2 Ag 0.2500 0.2120 0.7500
Te1 Te 0.0000 0.1907 0.4233
Te2 Te 0.2500 0.0445 0.7500
```

---

Record 2
DFT (PBE) results for crystalline VHPtBr2 at its relaxed geometry.

The electronic total energy is -17.7 eV for the cell shown.

CIF file:
```
data_VHPtBr2
_cell_length_a 5.2776
_cell_length_b 5.2776
_cell_length_c 4.9201
_cell_angle_alpha 90.00
_cell_angle_beta 90.00
_cell_angle_gamma 90.00
_space_group_name_H-M_alt 'P 4/m m m'
_space_group_IT_number 123
_space_group_name_Hall '-P 4 2'
loop_
_atom_site_label
_atom_site_type_symbol
_atom_site_fract_x
_atom_site_fract_y
_atom_site_fract_z
V1 V 0.0000 0.0000 0.0000
H1 H 0.5000 0.5000 0.0000
Pt1 Pt 0.0000 0.0000 0.5000
Br1 Br 0.0000 0.5000 0.5000
```

---

Record 3
DFT (PBE) results for crystalline Li6Mg8In at its relaxed geometry.

As for the formation energy from the elements: 0.04 eV/atom. As for the relative energy among the computed polymorphs: 0.000 eV per atom. The electronic total energy is -26.4 eV for the cell shown.

CIF file:
```
data_Li6Mg8In
_cell_length_a 8.1804
_cell_length_b 8.1804
_cell_length_c 5.8437
_cell_angle_alpha 90.00
_cell_angle_beta 90.00
_cell_angle_gamma 120.00
_space_group_name_H-M_alt 'P -3'
_space_group_IT_number 147
loop_
_space_group_symop_operation_xyz
'x,y,z'
'-x,-y,-z'
'-y,x-y,z'
'y,-x+y,-z'
'-x+y,-x,z'
'x-y,x,-z'
loop_
_atom_site_label
_atom_site_type_symbol
_atom_site_fract_x
_atom_site_fract_y
_atom_site_fract_z
Li1 Li 0.0227 0.6690 0.3889
Mg1 Mg 0.0388 0.3507 0.1213
Mg2 Mg 0.3333 0.6667 0.7483
In1 In 0.0000 0.0000 0.5000
```

---

Record 4
DFT (PBE) results for crystalline MnFeP2 at its relaxed geometry.

As for the formation energy from the elements: -0.35 eV/atom. As for the relative energy among the computed polymorphs: 0.245 eV per atom. The electronic total energy is -59.7 eV for the cell shown.

CIF file:
```
data_MnFeP2
_cell_length_a 7.4210
_cell_length_b 3.1597
_cell_length_c 4.4270
_cell_angle_alpha 90.00
_cell_angle_beta 102.78
_cell_angle_gamma 90.00
_space_group_name_H-M_alt 'C 1 m 1'
_space_group_IT_number 8
loop_
_space_group_symop_operation_xyz
'x,y,z'
'x,-y,z'
'x+1/2,y+1/2,z'
'x+1/2,-y+1/2,z'
loop_
_atom_site_label
_atom_site_type_symbol
_atom_site_fract_x
_atom_site_fract_y
_atom_site_fract_z
Mn1 Mn 0.0000 0.0000 0.0000
Fe1 Fe 0.2483 0.5000 0.4200
P1 P 0.0581 0.0000 0.5158
P2 P 0.1914 0.5000 0.9058
```

---

Question: Which value of electronic total energy does entry 4 give?
Answer: -59.7 eV for the cell shown

---

Question: What is the formula in the first record?
Answer: Ba2Ag3Te4

---

Question: Number 1 is which compound?
Answer: Ba2Ag3Te4